Entry one
First-principles (PBEsol) data for a relaxed IrRu2Pt crystal, as listed in the Alexandria database.

Output
As for the density of states at the Fermi level: 1.03 states/eV per atom. As for the space group: Pmm2 (25). The crystal system is orthorhombic.

abc: 2.6924 3.8119 5.4111
angles: 90.00 90.00 90.00
Sites, in units of the cell vectors:
Ir: 0.0000 0.0000 0.0000
Ru: 0.0000 0.0000 0.5175
Ru: 0.5000 0.5000 0.7553
Pt: 0.5000 0.5000 0.2612

Entry two
First-principles (PBEsol) data for a relaxed IrRu2Pt crystal, as listed in the Alexandria database.

Output
As for the density of states at the Fermi level: 1.09 states/eV per atom. As for the space group: I4/mmm (139). The crystal system is tetragonal.

abc: 4.6863 4.6863 4.6863
angles: 132.18 132.18 69.95
Sites, in units of the cell vectors:
Ir: 0.0000 0.0000 0.0000
Ru: 0.2500 0.7500 0.5000
Ru: 0.7500 0.2500 0.5000
Pt: 0.5000 0.5000 0.0000

Which is more stable than every other structure shown? entry one is more stable than every other one.